Entry 1:
Computed, not measured: an optimized crystal structure of LaNd4Er6 at the PBE level of DFT.

Magnetization   0.000 μB per atom
E_form   0.147 eV per atom
D(E_F)   15.48 states/eV per cell
Space group   P-6m2, No. 187
Theoretical density   7.63 g cm⁻³
Calculated total energy   -49.76 eV per cell

Unit cell a=3.5498 b=11.0328 c=11.0328 alpha=120.00 beta=90.00 gamma=90.00
Last column: nearest neighbours and their distance in Å.
Fractional coordinates of all 11 atoms:
La: 0.0000 0.0000 0.0000  2 La 3.55, 6 Er 3.74
Nd: 0.5000 0.8014 0.6029  6 Er 3.47-3.57, 2 Nd 3.55
Nd: 0.5000 0.3971 0.1986  6 Er 3.47-3.57, 2 Nd 3.55
Nd: 0.5000 0.8014 0.1986  6 Er 3.47-3.57, 2 Nd 3.55
Nd: 0.0000 0.3333 0.6667  3 Er 3.11
Er: 0.0000 0.4960 0.9919  5 Nd 3.11-3.47
Er: 0.5000 0.6558 0.8279  6 Er 3.55-3.57, 4 Nd 3.56-3.57, 2 La 3.74
Er: 0.0000 0.4960 0.5040  5 Nd 3.11-3.47
Er: 0.0000 0.0081 0.5040  5 Nd 3.11-3.47
Er: 0.5000 0.1721 0.8279  6 Er 3.55-3.57, 4 Nd 3.56-3.57, 2 La 3.74
Er: 0.5000 0.1721 0.3442  6 Er 3.55-3.57, 4 Nd 3.56-3.57, 2 La 3.74


Entry 2:
Computed, not measured: an optimized crystal structure of La5Nd2Er2 at the PBE level of DFT.

Magnetization   0.000 μB per atom
E_form   0.022 eV per atom
D(E_F)   16.34 states/eV per cell
Space group   P-1, No. 2
Offset from the most stable computed form   0 meV/atom
Theoretical density   6.91 g cm⁻³
Calculated total energy   -43.10 eV per cell

Unit cell a=6.3909 b=3.6872 c=16.7680 alpha=83.61 beta=86.42 gamma=125.29
Last column: nearest neighbours and their distance in Å.
Fractional coordinates of all 9 atoms:
La: 0.4437 0.8862 0.1123  1 Nd 3.58, 4 Er 3.68, 7 La 3.69-3.70
La: 0.5563 0.1138 0.8877  1 Nd 3.58, 4 Er 3.68, 7 La 3.69-3.70
La: 0.2212 0.4431 0.5571  1 Er 3.61, 6 La 3.69-3.71, 5 Nd 3.69-3.74
La: 0.7788 0.5569 0.4429  1 Er 3.61, 6 La 3.69-3.71, 5 Nd 3.69-3.74
La: 0.0000 0.0000 0.0000  2 Er 3.68, 10 La 3.69
Nd: 0.6652 0.3311 0.6702  6 La 3.58-3.74, 4 Er 3.64-3.65, 2 Nd 3.69
Nd: 0.3348 0.6689 0.3298  6 La 3.58-3.74, 4 Er 3.64-3.65, 2 Nd 3.69
Er: 0.1121 0.2257 0.7766  6 La 3.61-3.68, 4 Nd 3.64-3.65, 2 Er 3.69
Er: 0.8879 0.7743 0.2234  6 La 3.61-3.68, 4 Nd 3.64-3.65, 2 Er 3.69


Entry 3:
Computed, not measured: an optimized crystal structure of La2Nd5Er at the PBE level of DFT.

Magnetization   0.000 μB per atom
E_form   0.118 eV per atom
D(E_F)   24.52 states/eV per cell
Space group   Cmcm, No. 63
Theoretical density   6.75 g cm⁻³
Calculated total energy   -74.62 eV per cell

Unit cell a=5.7690 b=6.7084 c=16.4324 alpha=90.00 beta=90.00 gamma=115.47
Last column: nearest neighbours and their distance in Å.
Fractional coordinates of all 16 atoms:
La: 0.7795 0.5590 0.3693  5 Nd 3.40-3.67, 2 Er 3.50
La: 0.7795 0.5590 0.1307  5 Nd 3.40-3.67, 2 Er 3.50
La: 0.2205 0.4410 0.6307  5 Nd 3.40-3.67, 2 Er 3.50
La: 0.2205 0.4410 0.8693  5 Nd 3.40-3.67, 2 Er 3.50
Nd: 0.9224 0.8448 0.9077  1 Er 3.39, 6 Nd 3.57-3.79, 1 La 3.67
Nd: 0.9224 0.8448 0.5923  1 Er 3.39, 6 Nd 3.57-3.79, 1 La 3.67
Nd: 0.3825 0.7650 0.4484  1 Nd 3.31, 3 La 3.40-3.58, 1 Er 3.59
Nd: 0.3825 0.7650 0.0516  1 Nd 3.31, 3 La 3.40-3.58, 1 Er 3.59
Nd: 0.5361 0.0723 0.2500  1 Er 3.37, 2 La 3.54, 2 Nd 3.75
Nd: 0.4639 0.9277 0.7500  1 Er 3.37, 2 La 3.54, 2 Nd 3.75
Nd: 0.6175 0.2350 0.5516  1 Nd 3.31, 3 La 3.40-3.58, 1 Er 3.59
Nd: 0.6175 0.2350 0.9484  1 Nd 3.31, 3 La 3.40-3.58, 1 Er 3.59
Nd: 0.0776 0.1552 0.0923  1 Er 3.39, 6 Nd 3.57-3.79, 1 La 3.67
Nd: 0.0776 0.1552 0.4077  1 Er 3.39, 6 Nd 3.57-3.79, 1 La 3.67
Er: 0.7425 0.4849 0.7500  5 Nd 3.37-3.59, 4 La 3.50
Er: 0.2575 0.5151 0.2500  5 Nd 3.37-3.59, 4 La 3.50


Entry 4:
Computed, not measured: an optimized crystal structure of LaNd12Er5 at the PBE level of DFT.

Magnetization   0.000 μB per atom
E_form   0.022 eV per atom
D(E_F)   28.40 states/eV per cell
Space group   Cmmm, No. 65
Theoretical density   7.32 g cm⁻³
Calculated total energy   -84.56 eV per cell

Unit cell a=15.4128 b=10.9161 c=5.1512 alpha=90.00 beta=90.00 gamma=45.09
Last column: nearest neighbours and their distance in Å.
Fractional coordinates of all 18 atoms:
La: 0.0000 0.0000 0.0000  8 Nd 3.64-3.65, 4 Er 3.67
Nd: 0.8325 0.0000 0.5000  2 La 3.65, 8 Nd 3.65-3.66, 2 Er 3.67
Nd: 0.1675 0.0000 0.5000  2 La 3.65, 8 Nd 3.65-3.66, 2 Er 3.67
Nd: 0.6638 0.0000 0.0000  4 Er 3.61, 8 Nd 3.64-3.69
Nd: 0.3362 0.0000 0.0000  4 Er 3.61, 8 Nd 3.64-3.69
Nd: 0.3338 0.6642 0.9999  3 Er 3.62-3.63, 8 Nd 3.63-3.69, 1 La 3.64
Nd: 0.0020 0.6642 0.0001  3 Er 3.62-3.63, 8 Nd 3.63-3.69, 1 La 3.64
Nd: 0.9980 0.3358 0.9999  3 Er 3.62-3.63, 8 Nd 3.63-3.69, 1 La 3.64
Nd: 0.6662 0.3358 0.0001  3 Er 3.62-3.63, 8 Nd 3.63-3.69, 1 La 3.64
Nd: 0.4979 0.3323 0.5001  4 Er 3.59-3.61, 8 Nd 3.64-3.71
Nd: 0.8302 0.6677 0.5001  4 Er 3.59-3.61, 8 Nd 3.64-3.71
Nd: 0.1698 0.3323 0.4999  4 Er 3.59-3.61, 8 Nd 3.64-3.71
Nd: 0.5021 0.6677 0.4999  4 Er 3.59-3.61, 8 Nd 3.64-3.71
Er: 0.5000 0.0000 0.5000  8 Nd 3.60-3.61, 4 Er 3.65
Er: 0.1688 0.6624 0.5000  8 Nd 3.59-3.67, 2 Er 3.62, 2 La 3.67
Er: 0.8312 0.3376 0.5000  8 Nd 3.59-3.67, 2 Er 3.62, 2 La 3.67
Er: 0.6668 0.6663 0.0000  8 Nd 3.61-3.62, 4 Er 3.62-3.65
Er: 0.3332 0.3337 0.0000  8 Nd 3.61-3.62, 4 Er 3.62-3.65


Entry 5:
Computed, not measured: an optimized crystal structure of LaNdEr3 at the PBE level of DFT.

Magnetization   0.024 μB per atom
E_form   0.088 eV per atom
D(E_F)   26.14 states/eV per cell
Space group   Pnma, No. 62
Offset from the most stable computed form   14 meV/atom
Theoretical density   7.72 g cm⁻³
Calculated total energy   -91.77 eV per cell

Unit cell a=9.5946 b=9.5869 c=7.3445 alpha=90.00 beta=90.00 gamma=90.00
Last column: nearest neighbours and their distance in Å.
Fractional coordinates of all 20 atoms:
La: 0.0000 0.5000 0.0000  2 La 3.67, 8 Er 3.81-4.00, 4 Nd 3.99
La: 0.5000 0.0000 0.5000  2 La 3.67, 8 Er 3.81-4.00, 4 Nd 3.99
La: 0.5000 0.0000 0.0000  2 La 3.67, 8 Er 3.81-4.00, 4 Nd 3.99
La: 0.0000 0.5000 0.5000  2 La 3.67, 8 Er 3.81-4.00, 4 Nd 3.99
Nd: 0.3257 0.6742 0.7500  8 Er 3.32-3.67
Nd: 0.1743 0.1742 0.2500  8 Er 3.32-3.67
Nd: 0.6743 0.3258 0.2500  8 Er 3.32-3.67
Nd: 0.8257 0.8258 0.7500  8 Er 3.32-3.67
Er: 0.8780 0.1221 0.9989  6 Er 3.31-3.69, 3 Nd 3.32-3.43
Er: 0.6220 0.6221 0.4989  6 Er 3.31-3.69, 3 Nd 3.32-3.43
Er: 0.6220 0.6221 0.0011  6 Er 3.31-3.69, 3 Nd 3.32-3.43
Er: 0.1220 0.8779 0.4989  6 Er 3.31-3.69, 3 Nd 3.32-3.43
Er: 0.1220 0.8779 0.0011  6 Er 3.31-3.69, 3 Nd 3.32-3.43
Er: 0.3780 0.3779 0.5011  6 Er 3.31-3.69, 3 Nd 3.32-3.43
Er: 0.3780 0.3779 0.9989  6 Er 3.31-3.69, 3 Nd 3.32-3.43
Er: 0.8780 0.1221 0.5011  6 Er 3.31-3.69, 3 Nd 3.32-3.43
Er: 0.6727 0.3266 0.7500  6 Er 3.33-3.42, 2 Nd 3.67
Er: 0.8273 0.8266 0.2500  6 Er 3.33-3.42, 2 Nd 3.67
Er: 0.3273 0.6734 0.2500  6 Er 3.33-3.42, 2 Nd 3.67
Er: 0.1727 0.1734 0.7500  6 Er 3.33-3.42, 2 Nd 3.67


Entry 6:
Computed, not measured: an optimized crystal structure of LaNdEr2 at the PBE level of DFT.

Magnetization   0.000 μB per atom
E_form   0.027 eV per atom
D(E_F)   6.38 states/eV per cell
Space group   P4/mmm, No. 123
Offset from the most stable computed form   12 meV/atom
Theoretical density   7.70 g cm⁻³
Calculated total energy   -18.71 eV per cell

Unit cell a=3.6592 b=3.6592 c=9.9428 alpha=90.00 beta=90.00 gamma=90.00
Last column: nearest neighbours and their distance in Å.
Fractional coordinates of all 4 atoms:
La: 0.5000 0.5000 0.5000  8 Er 3.60, 4 La 3.66
Nd: 0.5000 0.5000 0.0000  8 Er 3.57, 4 Nd 3.66
Er: 0.0000 0.0000 0.7523  4 Nd 3.57, 4 La 3.60, 4 Er 3.66
Er: 0.0000 0.0000 0.2477  4 Nd 3.57, 4 La 3.60, 4 Er 3.66